DFT (PBE) results for an optimized crystal structure of LiHf2In3.

Results
total DFT energy (no corrections)	-31.2	eV for the cell shown
ΔE_f	-0.1931	eV per atom
symmetry	P4/mmm, No. 123

a b c (Å): 3.162 3.162 12.452
angles (deg): 90.00 90.00 90.00
Positions (direct):
Hf  0.500  0.500  0.177
Hf  0.500  0.500  0.823
In  0.000  0.000  0.351
In  0.000  0.000  0.000
Li  0.500  0.500  0.500
In  0.000  0.000  0.649

***

DFT (PBE) results for an optimized crystal structure of Li2HfIn9.

Results
total DFT energy (no corrections)	-39.6	eV for the cell shown
ΔE_f	-0.0984	eV per atom
symmetry	P4/mmm, No. 123

a b c (Å): 4.492 4.492 13.829
angles (deg): 90.00 90.00 90.00
Positions (direct):
In  0.500  0.500  0.330
In  0.500  0.000  0.834
In  0.500  0.000  0.500
Hf  0.000  0.000  0.000
Li  0.000  0.000  0.326
In  0.000  0.500  0.500
In  0.500  0.000  0.166
Li  0.000  0.000  0.674
In  0.500  0.500  0.000
In  0.000  0.500  0.834
In  0.000  0.500  0.166
In  0.500  0.500  0.670

***

DFT (PBE) results for an optimized crystal structure of Li5HfIn6.

Results
total DFT energy (no corrections)	-38.9	eV for the cell shown
ΔE_f	-0.2461	eV per atom
symmetry	Cmmm, No. 65

a b c (Å): 4.751 6.951 7.641
angles (deg): 90.00 71.89 90.00
Positions (direct):
Li  0.325  0.500  0.350
Li  0.000  0.500  0.000
In  0.170  0.246  0.660
In  0.830  0.754  0.340
In  0.830  0.246  0.340
In  0.500  0.274  0.000
Li  0.343  0.000  0.313
Li  0.657  0.000  0.687
In  0.500  0.726  0.000
Li  0.675  0.500  0.650
In  0.170  0.754  0.660
Hf  0.000  0.000  0.000

***

DFT (PBE) results for an optimized crystal structure of LiHfIn.

Results
total DFT energy (no corrections)	-29.1	eV for the cell shown
ΔE_f	0.0122	eV per atom
energy above the most stable polymorph in this dataset	234.1	meV per atom
symmetry	P6_3/mmc, No. 194

a b c (Å): 4.967 4.967 5.873
angles (deg): 90.00 90.00 120.00
Positions (direct):
Hf  0.667  0.333  0.750
In  0.333  0.667  0.750
In  0.667  0.333  0.250
Hf  0.333  0.667  0.250
Li  0.000  0.000  0.000
Li  0.000  0.000  0.500

***

DFT (PBE) results for an optimized crystal structure of Li4HfIn5.

Results
total DFT energy (no corrections)	-33.8	eV for the cell shown
ΔE_f	-0.2522	eV per atom
symmetry	P4/mmm, No. 123

a b c (Å): 3.243 3.243 18.932
angles (deg): 90.00 90.00 90.00
Positions (direct):
In  0.500  0.500  0.299
In  0.500  0.500  0.110
In  0.500  0.500  0.500
Li  0.000  0.000  0.397
In  0.500  0.500  0.890
Li  0.000  0.000  0.603
In  0.500  0.500  0.701
Hf  0.000  0.000  0.000
Li  0.000  0.000  0.204
Li  0.000  0.000  0.796

***

DFT (PBE) results for an optimized crystal structure of LiHfIn.

Results
total DFT energy (no corrections)	-29.9	eV for the cell shown
ΔE_f	-0.1078	eV per atom
energy above the most stable polymorph in this dataset	114.1	meV per atom
symmetry	R-3m, No. 166

a b c (Å): 3.215 3.215 14.897
angles (deg): 83.81 83.81 60.00
Positions (direct):
In  0.419  0.419  0.742
Li  0.805  0.805  0.584
In  0.581  0.581  0.258
Hf  0.306  0.306  0.082
Hf  0.694  0.694  0.918
Li  0.195  0.195  0.416

***

V, respectively: 20.75, 23.26, 19.99, 20.92, 19.92, 22.05 Å³ per atom.